Tb7Th2 | Alexandria via LeMat-Bulk | PBE | optimized geometry; SG = P-31m; formation enthalpy at 0 K = 0.030 eV per atom; total magnetization = 0.0 μB per formula unit
1.0
6.178 0.000 0.000
-3.089 5.350 0.000
0.000 0.000 8.739
Tb Th
7 2
direct
0.336 0.336 0.329 Tb
0.000 0.664 0.329 Tb
0.336 0.000 0.671 Tb
0.664 0.000 0.329 Tb
0.000 0.000 0.000 Tb
0.000 0.336 0.671 Tb
0.664 0.664 0.671 Tb
0.333 0.667 0.000 Th
0.667 0.333 0.000 Th